1.
Computed, not measured: an optimized crystal structure of Ca2HoCd4 at the PBE level of DFT.

Calculated values
VASP energy, eV per atom: -1.925
Calculated volume, Å³ per cell: 204.6
ΔH_f (0 K), eV per formula unit: -1.23
Space-group type: I4/mmm (139)

Geometry as POSCAR:
```
Ca2HoCd4
1.0
5.189 0.000 -1.654
-0.527 5.162 -1.654
-0.345 -0.382 7.884
Ca Ho Cd
2 1 4
direct
0.739 0.739 0.479
0.261 0.261 0.521
0.000 0.000 0.000
0.388 0.888 0.775
0.888 0.388 0.775
0.612 0.112 0.225
0.112 0.612 0.225
```



2.
Computed, not measured: an optimized crystal structure of CaHoCd14 at the PBE level of DFT.

Calculated values
VASP energy, eV per atom: -1.345
Calculated volume, Å³ per cell: 373.5
ΔH_f (0 K), eV per formula unit: -2.13
Space-group type: P4/mmm (123)

Geometry as POSCAR:
```
CaHoCd14
1.0
6.597 -0.014 0.000
0.015 6.597 0.000
0.000 0.000 8.580
Ca Ho Cd
1 1 14
direct
0.375 0.375 0.500
0.875 0.875 0.500
0.875 0.875 0.000
0.375 0.375 0.000
0.875 0.375 0.500
0.875 0.375 0.000
0.375 0.875 0.500
0.375 0.875 0.000
0.626 0.124 0.240
0.626 0.124 0.760
0.124 0.626 0.240
0.124 0.626 0.760
0.626 0.626 0.240
0.626 0.626 0.760
0.124 0.124 0.240
0.124 0.124 0.760
```



3.
Computed, not measured: an optimized crystal structure of CaHo2Cd at the PBE level of DFT.

Calculated values
VASP energy, eV per atom: -3.079
Calculated volume, Å³ per cell: 126.0
ΔH_f (0 K), eV per formula unit: -0.25
Space-group type: P4/mmm (123)
Energy above the lowest structure with this stoichiometry, kJ per mole of atoms: 0.0

Geometry as POSCAR:
```
CaHo2Cd
1.0
-0.407 0.470 3.678
-0.959 -3.587 0.352
8.694 -2.202 1.243
Ca Ho Cd
1 2 1
direct
0.500 0.500 0.500
0.000 0.000 0.801
0.000 0.000 0.199
0.500 0.500 0.000
```



4.
Computed, not measured: an optimized crystal structure of CaHoCd3 at the PBE level of DFT.

Calculated values
VASP energy, eV per atom: -2.168
Calculated volume, Å³ per cell: 263.8
ΔH_f (0 K), eV per formula unit: -1.51
Space-group type: Cmcm (63)

Geometry as POSCAR:
```
CaHoCd3
1.0
-1.363 3.026 1.379
-4.591 -1.763 -0.669
1.017 -7.518 12.823
Ca Ho Cd
2 2 6
direct
0.925 0.750 0.849
0.075 0.250 0.151
0.215 0.750 0.429
0.785 0.250 0.571
0.623 0.750 0.246
0.377 0.250 0.754
0.525 0.750 0.050
0.475 0.250 0.950
0.678 0.250 0.355
0.322 0.750 0.645
```



5.
Computed, not measured: an optimized crystal structure of CaHo5Cd4 at the PBE level of DFT.

Calculated values
VASP energy, eV per atom: -3.068
Calculated volume, Å³ per cell: 281.3
ΔH_f (0 K), eV per formula unit: -2.13
Space-group type: P4/mmm (123)

Geometry as POSCAR:
```
CaHo5Cd4
1.0
-2.601 -0.286 -2.660
0.758 -3.636 -0.351
-13.890 -4.249 14.042
Ca Ho Cd
1 5 4
direct
0.000 0.000 0.000
0.500 0.500 0.134
0.500 0.500 0.315
0.500 0.500 0.500
0.500 0.500 0.685
0.500 0.500 0.866
0.000 0.000 0.223
0.000 0.000 0.407
0.000 0.000 0.593
0.000 0.000 0.777
```



6.
Computed, not measured: an optimized crystal structure of CaHoCd5 at the PBE level of DFT.

Calculated values
VASP energy, eV per atom: -1.721
Calculated volume, Å³ per cell: 193.5
ΔH_f (0 K), eV per formula unit: -0.89
Space-group type: P4/mmm (123)

Geometry as POSCAR:
```
CaHoCd5
1.0
4.474 0.000 0.000
0.000 4.474 0.000
0.000 0.000 9.668
Ca Ho Cd
1 1 5
direct
0.500 0.500 0.000
0.000 0.000 0.500
0.000 0.500 0.744
0.000 0.500 0.256
0.500 0.000 0.744
0.500 0.000 0.256
0.500 0.500 0.500
```



7.
Computed, not measured: an optimized crystal structure of Ca2HoCd at the PBE level of DFT.

Calculated values
VASP energy, eV per atom: -2.421
Calculated volume, Å³ per cell: 127.1
ΔH_f (0 K), eV per formula unit: -0.19
Space-group type: P4/mmm (123)
Energy above the lowest structure with this stoichiometry, kJ per mole of atoms: 0.0

Geometry as POSCAR:
```
Ca2HoCd
1.0
-0.293 -1.147 -3.938
4.098 -0.256 -0.230
-0.331 -7.203 2.122
Ca Ho Cd
2 1 1
direct
0.000 0.000 0.769
0.000 0.000 0.231
0.500 0.500 0.500
0.500 0.500 0.000
```



8.
Computed, not measured: an optimized crystal structure of CaHo5Cd6 at the PBE level of DFT.

Calculated values
VASP energy, eV per atom: -2.857
Calculated volume, Å³ per cell: 314.0
ΔH_f (0 K), eV per formula unit: -3.91
Space-group type: Cmmm (65)

Geometry as POSCAR:
```
CaHo5Cd6
1.0
-2.642 1.112 4.459
-0.027 -7.221 1.785
5.583 1.485 6.089
Ca Ho Cd
1 5 6
direct
0.000 0.000 0.000
0.665 0.500 0.669
0.333 0.000 0.333
0.000 0.500 0.000
0.667 0.000 0.667
0.335 0.500 0.331
0.831 0.746 0.337
0.831 0.254 0.337
0.500 0.255 0.000
0.500 0.745 0.000
0.169 0.746 0.663
0.169 0.254 0.663
```



9.
Computed, not measured: an optimized crystal structure of CaHoCd2 at the PBE level of DFT.

Calculated values
VASP energy, eV per atom: -2.443
Calculated volume, Å³ per cell: 107.1
ΔH_f (0 K), eV per formula unit: -1.36
Space-group type: Fm-3m (225)

Geometry as POSCAR:
```
CaHoCd2
1.0
5.330 0.000 0.000
2.665 4.616 0.000
2.665 1.539 4.352
Ca Ho Cd
1 1 2
direct
0.250 0.250 0.250
0.750 0.750 0.750
0.500 0.500 0.500
0.000 0.000 0.000
```



10.
Computed, not measured: an optimized crystal structure of CaHoCd17 at the PBE level of DFT.

Calculated values
VASP energy, eV per atom: -1.277
Calculated volume, Å³ per cell: 443.9
ΔH_f (0 K), eV per formula unit: -2.12
Space-group type: R3m (160)

Geometry as POSCAR:
```
CaHoCd17
1.0
7.635 0.088 0.999
0.889 7.584 0.999
0.098 0.088 7.700
Ca Ho Cd
1 1 17
direct
0.667 0.667 0.667
0.325 0.325 0.325
0.302 0.001 0.695
0.695 0.302 0.001
0.001 0.695 0.302
0.302 0.695 0.001
0.001 0.302 0.695
0.695 0.001 0.302
0.344 0.879 0.344
0.344 0.344 0.879
0.879 0.344 0.344
0.619 0.214 0.619
0.619 0.619 0.214
0.214 0.619 0.619
0.976 0.527 0.976
0.976 0.976 0.527
0.527 0.976 0.976
0.910 0.910 0.910
0.104 0.104 0.104
```



11.
Computed, not measured: an optimized crystal structure of Ca2HoCd at the PBE level of DFT.

Calculated values
VASP energy, eV per atom: -2.386
Calculated volume, Å³ per cell: 133.3
ΔH_f (0 K), eV per formula unit: -0.05
Space-group type: R3m (160)
Energy above the lowest structure with this stoichiometry, kJ per mole of atoms: 3.4

Geometry as POSCAR:
```
Ca2HoCd
1.0
-3.631 -0.905 -0.053
-1.340 -2.505 2.436
-3.776 6.941 7.938
Ca Ho Cd
2 1 1
direct
0.075 0.075 0.774
0.258 0.258 0.227
0.501 0.501 0.498
0.666 0.666 0.001
```



12.
Computed, not measured: an optimized crystal structure of Ca2HoCd at the PBE level of DFT.

Calculated values
VASP energy, eV per atom: -2.413
Calculated volume, Å³ per cell: 125.6
ΔH_f (0 K), eV per formula unit: -0.16
Space-group type: P4/mmm (123)
Energy above the lowest structure with this stoichiometry, kJ per mole of atoms: 0.8

Geometry as POSCAR:
```
Ca2HoCd
1.0
5.279 0.000 0.000
0.000 4.877 0.000
0.000 0.000 4.877
Ca Ho Cd
2 1 1
direct
0.000 0.000 0.500
0.000 0.500 0.000
0.500 0.500 0.500
0.500 0.000 0.000
```